The following is a DFT calculation (PBE) of a relaxed PuMgTaO6 crystal.

Cell and atoms, written as POSCAR:
```
PuMgTaO6
1.0
5.457 0.000 0.000
-2.729 4.726 0.000
0.000 0.000 9.014
Pu Mg Ta O
2 2 2 12
Direct
0.333 0.667 0.250
0.667 0.333 0.750
0.000 0.000 0.000
0.000 0.000 0.500
0.333 0.667 0.750
0.667 0.333 0.250
0.018 0.355 0.632
0.018 0.663 0.868
0.337 0.355 0.868
0.337 0.982 0.632
0.355 0.018 0.132
0.355 0.337 0.368
0.645 0.663 0.632
0.645 0.982 0.868
0.663 0.018 0.368
0.663 0.645 0.132
0.982 0.337 0.132
0.982 0.645 0.368
```

Computed properties:
density of states at the Fermi level	16.60	states/eV per cell
space group	No. 163
final energy	-163.274	eV for the cell shown
uncorrected formation energy	-2.68	eV per atom
total magnetic moment	6.0	μB per cell